! PBE Pu6Ge2H, optimized geometry; values from VASP
&SYSTEM
  ibrav = 0, nat = 18, ntyp = 3
/
ATOMIC_SPECIES
Ge 72.64 Ge.upf
Pu 244.00 Pu.upf
H 1.01 H.upf
CELL_PARAMETERS angstrom
3.572 0.000 0.001
0.000 12.340 0.000
-0.003 0.000 8.019
ATOMIC_POSITIONS angstrom
Ge 1.784 9.685 6.632
Pu 1.785 10.739 3.931
H -0.001 0.000 4.009
Pu 3.572 4.568 0.080
Ge 3.571 3.514 5.398
Pu 1.785 1.602 4.089
Pu 3.570 7.524 5.392
Pu -0.001 4.817 2.627
Pu -0.002 11.981 6.443
Pu -0.001 0.360 1.576
H 1.786 6.170 0.001
Ge -0.001 8.826 2.622
Pu -0.003 7.772 7.940
Pu 1.786 10.987 1.382
Pu 1.784 1.353 6.637
Ge 1.786 2.656 1.388
Pu 1.785 6.530 2.434
Pu 1.784 5.811 5.586
! Uncorrected energy = -100.7 eV/f.u.
! ΔE to the lowest computed polymorph = 0.000 eV per atom
! Calculated density = 15.13 Mg/m³
! Calculated volume = 353.5 Å³ per cell